No. 1
The following is a DFT calculation (PBE) of a relaxed structure of PaBeFe.

Offset from the most stable computed form (eV/atom): 0.855

Cell: 6.0319 6.0319 6.0319 Å, 90.00 90.00 90.00°
With the nearest neighbours (Å) after each atom.
Space group F-43m (No. 216)
Unique sites:
Pa 0.0000 0.0000 0.0000 x4  4 Be 2.61, 4 Fe 2.61
Be 0.2500 0.2500 0.7500 x4  4 Pa 2.61
Fe 0.2500 0.2500 0.2500 x4  4 Pa 2.61

***

No. 2
The following is a DFT calculation (PBE) of a relaxed structure of PaBeFe.

Offset from the most stable computed form (eV/atom): 0.000

Cell: 5.8897 5.8897 5.8897 Å, 90.00 90.00 90.00°
With the nearest neighbours (Å) after each atom.
Space group F-43m (No. 216)
Unique sites:
Pa 0.0000 0.0000 0.0000 x4  4 Fe 2.55
Be 0.0000 0.0000 0.5000 x4  4 Fe 2.55
Fe 0.2500 0.2500 0.2500 x4  4 Pa 2.55, 4 Be 2.55

***

No. 3
The following is a DFT calculation (PBE) of a relaxed structure of BeFe2Pb.

Offset from the most stable computed form (eV/atom): 0.000

Cell: 6.1644 6.1644 6.1644 Å, 90.00 90.00 90.00°
With the nearest neighbours (Å) after each atom.
Space group Pm-3m (No. 221)
Unique sites:
Be 0.0000 0.0000 0.0000 x1  8 Fe 2.15
Be 0.0000 0.0000 0.5000 x3  8 Fe 2.54
Fe 0.2012 0.2012 0.2012 x8  1 Be 2.15
Pb 0.0000 0.5000 0.5000 x3  8 Fe 2.89, 2 Pb 3.08, 4 Be 3.08
Pb 0.5000 0.5000 0.5000 x1  6 Pb 3.08, 8 Fe 3.19

***

No. 4
The following is a DFT calculation (PBE) of a relaxed structure of Be2FePb.

Total energy (eV/atom): -4.0989

Cell: 5.9886 5.9886 5.9886 Å, 90.00 90.00 90.00°
With the nearest neighbours (Å) after each atom.
Space group F-43m (No. 216)
Unique sites:
Be 0.0000 0.0000 0.0000 x4  4 Pb 2.59, 4 Be 2.59
Be 0.2500 0.2500 0.2500 x4  4 Fe 2.59, 4 Be 2.59
Fe 0.0000 0.0000 0.5000 x4  4 Pb 2.59, 4 Be 2.59
Pb 0.2500 0.2500 0.7500 x4  4 Fe 2.59, 4 Be 2.59

***

No. 5
The following is a DFT calculation (PBE) of a relaxed structure of BeFe2Pb.

Offset from the most stable computed form (eV/atom): 0.000

Cell: 6.1588 6.1588 6.1588 Å, 90.00 90.00 90.00°
With the nearest neighbours (Å) after each atom.
Space group Pm-3m (No. 221)
Unique sites:
Be 0.0000 0.0000 0.0000 x1  8 Fe 2.15
Be 0.0000 0.0000 0.5000 x3  8 Fe 2.54
Fe 0.2013 0.2013 0.2013 x8  1 Be 2.15
Pb 0.0000 0.5000 0.5000 x3  8 Fe 2.88, 2 Pb 3.08, 4 Be 3.08
Pb 0.5000 0.5000 0.5000 x1  6 Pb 3.08, 8 Fe 3.19

***

No. 6
The following is a DFT calculation (PBE) of a relaxed structure of BeFe2Pb.

Offset from the most stable computed form (eV/atom): 0.159

Cell: 6.0338 6.0338 6.0338 Å, 90.00 90.00 90.00°
With the nearest neighbours (Å) after each atom.
Space group F-43m (No. 216)
Unique sites:
Be 0.0000 0.0000 0.0000 x4  4 Fe 2.61, 4 Pb 2.61
Fe 0.0000 0.0000 0.5000 x4  4 Pb 2.61, 4 Fe 2.61
Fe 0.2500 0.2500 0.7500 x4  4 Fe 2.61, 4 Be 2.61
Pb 0.2500 0.2500 0.2500 x4  4 Fe 2.61, 4 Be 2.61

***

In μB/atom, the M_tot values for the records above are, in order, 0.234; 0.005; 1.165; 0.264; 1.163; 1.044.